Compound: TcTeSe2
Source: the Alexandria database
Functional: GGA-PBE
Structure: relaxed

Cell lengths 3.024, 3.024, 10.581 Å; angles 90.00, 90.00, 90.00 degrees
Space group P4/mmm (No. 123)
Unique sites:
Tc 0.000 0.000 0.000 x1
Te 0.000 0.000 0.500 x1
Se 0.500 0.500 0.148 x2

total energy = -20.87 eV per cell
spin magnetization = 0.00 μB per formula unit


Compound: NiTe2RhN
Source: the Alexandria database
Functional: GGA-PBE
Structure: relaxed

Cell lengths 5.195, 5.195, 3.353 Å; angles 90.00, 90.00, 90.00 degrees
Space group P4/mmm (No. 123)
Unique sites:
Ni 0.000 0.000 0.000 x1
Te 0.000 0.500 0.000 x2
Rh 0.500 0.500 0.500 x1
N 0.000 0.000 0.500 x1

total energy = -25.36 eV per cell
spin magnetization = 0.00 μB per formula unit


Compound: Mg4Be5
Source: the Alexandria database
Functional: GGA-PBE
Structure: relaxed

Cell lengths 7.4905, 7.4905, 5.2574 Å; angles 90.00, 90.00, 120.00 degrees
Space group P6_3/mcm (No. 193)
Unique sites:
Mg 0.0000 0.0000 0.0000 x2
Mg 0.0000 0.3511 0.2500 x6
Be 0.0000 0.3272 0.7500 x6
Be 0.3333 0.6667 0.0000 x4

spin magnetization = 0.00 μB per formula unit
energy relative to the elements = 498 meV per atom